Entry 1:
This record from Alexandria via LeMat-Bulk describes crystalline AcPdS at its relaxed geometry. The functional is PBE.

Properties
As for the calculated total energy: -5.506 eV/atom. The volume comes out at 25.3 Å³/atom. The calculation puts the distance to the lowest polymorph of the same formula at 209 meV/atom. The value obtained for the size of the total moment is 0.00 μB per cell.

a b c (Å): 4.0896 4.0896 5.3834
angles (deg): 112.32 112.32 90.00
Closest atoms and distances in Å follow each position.
Fractional positions:
Pd1 0.6449 0.6449 0.2899  1 S 2.50
S1 0.3696 0.3696 0.7392  1 Pd 2.50
Ac1 0.9855 0.9855 0.9709  4 S 3.08, 5 Pd 3.09-3.23

=====

Entry 2:
This record from Alexandria via LeMat-Bulk describes crystalline Nd2HoHgC at its relaxed geometry. The functional is PBE.

Properties
As for the calculated total energy: -4.990 eV/atom. The volume comes out at 25.5 Å³/atom. The calculation puts the formation energy at -0.263 eV/atom. The value obtained for the size of the total moment is 0.00 μB per cell.

a b c (Å): 4.8125 5.1512 5.1512
angles (deg): 90.00 90.00 90.00
Closest atoms and distances in Å follow each position.
Fractional positions:
Hg1 0.5000 0.5000 0.5000  8 Nd 3.52, 4 Ho 3.64
Nd1 0.0000 0.0000 0.5000  2 C 2.58
Nd2 0.0000 0.5000 0.0000  2 C 2.58
Ho1 0.5000 0.0000 0.0000  2 C 2.41
C1 0.0000 0.0000 0.0000  2 Ho 2.41, 4 Nd 2.58

=====

Entry 3:
This record from Alexandria via LeMat-Bulk describes crystalline B2PtRh at its relaxed geometry. The functional is PBE.

Properties
As for the calculated total energy: -6.355 eV/atom. The volume comes out at 10.6 Å³/atom. The calculation puts the distance to the lowest polymorph of the same formula at 320 meV/atom. The calculation puts the formation energy at 0.332 eV/atom. The value obtained for the size of the total moment is 0.00 μB per cell.

a b c (Å): 3.9086 3.9086 3.9086
angles (deg): 60.00 60.00 60.00
Closest atoms and distances in Å follow each position.
Fractional positions:
Pt1 0.5000 0.5000 0.5000  8 B 2.39
Rh1 0.0000 0.0000 0.0000  8 B 2.39
B1 0.7500 0.7500 0.7500  4 Rh 2.39, 4 Pt 2.39
B2 0.2500 0.2500 0.2500  4 Pt 2.39, 4 Rh 2.39

=====

Entry 4:
This record from Alexandria via LeMat-Bulk describes crystalline Ta2AgW at its relaxed geometry. The functional is PBE.

Properties
As for the calculated total energy: -9.631 eV/atom. The volume comes out at 17.5 Å³/atom. The calculation puts the distance to the lowest polymorph of the same formula at 141 meV/atom. The calculation puts the formation energy at 0.246 eV/atom. The value obtained for the size of the total moment is 0.00 μB per cell.

a b c (Å): 2.7674 2.7674 9.1567
angles (deg): 90.00 90.00 90.00
Closest atoms and distances in Å follow each position.
Fractional positions:
Ta1 0.0000 0.0000 0.0016  4 Ta 2.77, 4 W 3.00, 4 Ag 3.02
Ag1 0.5000 0.5000 0.7500  4 Ag 2.77, 8 Ta 3.02
W1 0.5000 0.5000 0.2500  4 W 2.77, 8 Ta 3.00
Ta2 0.0000 0.0000 0.4984  4 Ta 2.77, 4 W 3.00, 4 Ag 3.02